# Sc3ZnC (PBE, optimized geometry)
data_Sc3ZnC
_chemical_formula_sum 'Sc6 Zn2 C2'
_space_group_name_H-M_alt 'P -6'
_space_group_IT_number 174
_cell_length_a 6.5635
_cell_length_b 6.5635
_cell_length_c 4.7049
_cell_angle_alpha 90.00
_cell_angle_beta 90.00
_cell_angle_gamma 120.00
loop_
_space_group_symop_operation_xyz
'x,y,z'
'-x+y,-x,-z'
'-y,x-y,z'
'x,y,-z'
'-x+y,-x,z'
'-y,x-y,-z'
loop_
_atom_site_label
_atom_site_type_symbol
_atom_site_fract_x
_atom_site_fract_y
_atom_site_fract_z
Sc1 Sc 0.0926 0.3617 0.0000
Sc2 Sc 0.3186 0.2261 0.5000
Zn1 Zn 0.3333 0.6667 0.5000
Zn2 Zn 0.6667 0.3333 0.0000
C1 C 0.0000 0.0000 0.1646
# * theoretical density: 4.0 g/cm3
# * E above lowest polymorph: 87 meV/atom
# * ΔE_f: -169 kJ/mol of formula units
# * total magnetic moment: 0.00 μB/cell

# DyLuH (PBE, optimized geometry)
data_DyLuH
_chemical_formula_sum 'Dy1 Lu1 H1'
_space_group_name_H-M_alt 'P 3 m 1'
_space_group_IT_number 156
_cell_length_a 3.5709
_cell_length_b 3.5709
_cell_length_c 5.4863
_cell_angle_alpha 90.00
_cell_angle_beta 90.00
_cell_angle_gamma 120.00
loop_
_space_group_symop_operation_xyz
'x,y,z'
'-y,x-y,z'
'-x+y,-x,z'
'-y,-x,z'
'-x+y,y,z'
'x,x-y,z'
loop_
_atom_site_label
_atom_site_type_symbol
_atom_site_fract_x
_atom_site_fract_y
_atom_site_fract_z
Dy1 Dy 0.0000 0.0000 0.0000
Lu1 Lu 0.3333 0.6667 0.4921
H1 H 0.6667 0.3333 0.2507
# * theoretical density: 9.3 g/cm3
# * E above lowest polymorph: 0 meV/atom
# * total magnetic moment: 0.00 μB/cell

# La2YPt (PBE, optimized geometry)
data_La2YPt
_chemical_formula_sum 'La8 Y4 Pt4'
_space_group_name_H-M_alt 'P n m a'
_space_group_IT_number 62
_cell_length_a 7.2681
_cell_length_b 10.3187
_cell_length_c 6.5938
_cell_angle_alpha 90.00
_cell_angle_beta 90.00
_cell_angle_gamma 90.00
loop_
_space_group_symop_operation_xyz
'x,y,z'
'-x,-y,-z'
'-x+1/2,-y,z+1/2'
'x+1/2,y,-z+1/2'
'x+1/2,-y+1/2,-z+1/2'
'-x+1/2,y+1/2,z+1/2'
'-x,y+1/2,-z'
'x,-y+1/2,z'
loop_
_atom_site_label
_atom_site_type_symbol
_atom_site_fract_x
_atom_site_fract_y
_atom_site_fract_z
La1 La 0.1786 0.0631 0.1750
Y1 Y 0.0333 0.2500 0.6547
Pt1 Pt 0.1200 0.7500 0.9417
# * theoretical density: 7.5 g/cm3
# * E above lowest polymorph: 0 meV/atom
# * ΔE_f: -250 kJ/mol of formula units
# * total magnetic moment: 0.00 μB/cell

# CePaSi2Ir2 (PBE, optimized geometry)
data_CePaSi2Ir2
_chemical_formula_sum 'Ce1 Pa1 Si2 Ir2'
_space_group_name_H-M_alt 'P -3 m 1'
_space_group_IT_number 164
_space_group_name_Hall '-P 3 2"'
_cell_length_a 4.2263
_cell_length_b 4.2263
_cell_length_c 7.6126
_cell_angle_alpha 90.00
_cell_angle_beta 90.00
_cell_angle_gamma 120.00
loop_
_atom_site_label
_atom_site_type_symbol
_atom_site_fract_x
_atom_site_fract_y
_atom_site_fract_z
Ce1 Ce 0.0000 0.0000 0.0000
Pa1 Pa 0.0000 0.0000 0.5000
Si1 Si 0.3333 0.6667 0.7519
Ir1 Ir 0.3333 0.6667 0.2699
# * theoretical density: 11.4 g/cm3
# * total magnetic moment: 0.00 μB/cell
# * calculated total energy: -49.63 eV/cell

# Pr2W2N7 (PBE, optimized geometry)
data_Pr2W2N7
_chemical_formula_sum 'Pr4 W4 N14'
_space_group_name_H-M_alt 'C 1 2/m 1'
_space_group_IT_number 12
_cell_length_a 8.2148
_cell_length_b 9.6194
_cell_length_c 3.8316
_cell_angle_alpha 90.00
_cell_angle_beta 99.82
_cell_angle_gamma 90.00
loop_
_space_group_symop_operation_xyz
'x,y,z'
'-x,-y,-z'
'-x,y,-z'
'x,-y,z'
'x+1/2,y+1/2,z'
'-x+1/2,-y+1/2,-z'
'-x+1/2,y+1/2,-z'
'x+1/2,-y+1/2,z'
loop_
_atom_site_label
_atom_site_type_symbol
_atom_site_fract_x
_atom_site_fract_y
_atom_site_fract_z
Pr1 Pr 0.0000 0.2208 0.0000
W1 W 0.2314 0.5000 0.4997
N1 N 0.0000 0.5000 0.5000
N2 N 0.1783 0.0000 0.0190
N3 N 0.2167 0.2023 0.6075
# * theoretical density: 8.3 g/cm3
# * total magnetic moment: 0.00 μB/cell
# * calculated total energy: -199.24 eV/cell

# KTiAl (PBE, optimized geometry)
data_KTiAl
_chemical_formula_sum 'K2 Ti2 Al2'
_space_group_name_H-M_alt 'P 1 21/m 1'
_space_group_IT_number 11
_cell_length_a 3.1354
_cell_length_b 3.8990
_cell_length_c 13.3743
_cell_angle_alpha 90.00
_cell_angle_beta 90.19
_cell_angle_gamma 90.00
loop_
_space_group_symop_operation_xyz
'x,y,z'
'-x,-y,-z'
'-x,y+1/2,-z'
'x,-y+1/2,z'
loop_
_atom_site_label
_atom_site_type_symbol
_atom_site_fract_x
_atom_site_fract_y
_atom_site_fract_z
K1 K 0.2451 0.2500 0.1544
Ti1 Ti 0.2492 0.2500 0.4419
Al1 Al 0.2521 0.2500 0.6494
# * theoretical density: 2.3 g/cm3
# * E above lowest polymorph: 7 meV/atom
# * ΔE_f: 23 kJ/mol of formula units
# * total magnetic moment: 0.00 μB/cell

# Mg2Ge2Ru (PBE, optimized geometry)
data_Mg2Ge2Ru
_chemical_formula_sum 'Mg4 Ge4 Ru2'
_space_group_name_H-M_alt 'P 4/m b m'
_space_group_IT_number 127
_space_group_name_Hall '-P 4 2ab'
_cell_length_a 6.5843
_cell_length_b 6.5843
_cell_length_c 4.0693
_cell_angle_alpha 90.00
_cell_angle_beta 90.00
_cell_angle_gamma 90.00
loop_
_atom_site_label
_atom_site_type_symbol
_atom_site_fract_x
_atom_site_fract_y
_atom_site_fract_z
Mg1 Mg 0.1751 0.3249 0.0000
Ge1 Ge 0.1360 0.6360 0.5000
Ru1 Ru 0.0000 0.0000 0.5000
# * theoretical density: 5.6 g/cm3
# * ΔE_f: -102 kJ/mol of formula units
# * total magnetic moment: 0.00 μB/cell

# CsZr2IrRh (PBE, optimized geometry)
data_CsZr2IrRh
_chemical_formula_sum 'Cs1 Zr2 Ir1 Rh1'
_space_group_name_H-M_alt 'P 4/m m m'
_space_group_IT_number 123
_space_group_name_Hall '-P 4 2'
_cell_length_a 5.1664
_cell_length_b 5.1664
_cell_length_c 4.7118
_cell_angle_alpha 90.00
_cell_angle_beta 90.00
_cell_angle_gamma 90.00
loop_
_atom_site_label
_atom_site_type_symbol
_atom_site_fract_x
_atom_site_fract_y
_atom_site_fract_z
Cs1 Cs 0.0000 0.0000 0.0000
Zr1 Zr 0.0000 0.5000 0.0000
Ir1 Ir 0.5000 0.5000 0.5000
Rh1 Rh 0.0000 0.0000 0.5000
# * theoretical density: 8.1 g/cm3
# * E above lowest polymorph: 0 meV/atom
# * ΔE_f: 1079 kJ/mol of formula units
# * total magnetic moment: 0.04 μB/cell

# ReBF3 (PBE, optimized geometry)
data_ReBF3
_chemical_formula_sum 'Re1 B1 F3'
_space_group_name_H-M_alt 'P m -3 m'
_space_group_IT_number 221
_space_group_name_Hall '-P 4 2 3'
_cell_length_a 4.0014
_cell_length_b 4.0014
_cell_length_c 4.0014
_cell_angle_alpha 90.00
_cell_angle_beta 90.00
_cell_angle_gamma 90.00
loop_
_atom_site_label
_atom_site_type_symbol
_atom_site_fract_x
_atom_site_fract_y
_atom_site_fract_z
Re1 Re 0.0000 0.0000 0.0000
B1 B 0.5000 0.5000 0.5000
F1 F 0.0000 0.5000 0.5000
# * theoretical density: 6.6 g/cm3
# * E above lowest polymorph: 331 meV/atom
# * total magnetic moment: 5.43 μB/cell

# Li3TlBi (PBE, optimized geometry)
data_Li3TlBi
_chemical_formula_sum 'Li3 Tl1 Bi1'
_space_group_name_H-M_alt 'P m -3 m'
_space_group_IT_number 221
_space_group_name_Hall '-P 4 2 3'
_cell_length_a 5.2845
_cell_length_b 5.2845
_cell_length_c 5.2845
_cell_angle_alpha 90.00
_cell_angle_beta 90.00
_cell_angle_gamma 90.00
loop_
_atom_site_label
_atom_site_type_symbol
_atom_site_fract_x
_atom_site_fract_y
_atom_site_fract_z
Li1 Li 0.0000 0.0000 0.5000
Tl1 Tl 0.5000 0.5000 0.5000
Bi1 Bi 0.0000 0.0000 0.0000
# * theoretical density: 4.9 g/cm3
# * E above lowest polymorph: 210 meV/atom
# * ΔE_f: -67 kJ/mol of formula units
# * total magnetic moment: 0.00 μB/cell

# Ba3HgSb2O8 (PBE, optimized geometry)
data_Ba3HgSb2O8
_chemical_formula_sum 'Ba3 Hg1 Sb2 O8'
_space_group_name_H-M_alt 'P -3 m 1'
_space_group_IT_number 164
_space_group_name_Hall '-P 3 2"'
_cell_length_a 6.0749
_cell_length_b 6.0749
_cell_length_c 10.0803
_cell_angle_alpha 90.00
_cell_angle_beta 90.00
_cell_angle_gamma 120.00
loop_
_atom_site_label
_atom_site_type_symbol
_atom_site_fract_x
_atom_site_fract_y
_atom_site_fract_z
Ba1 Ba 0.0000 0.0000 0.0000
Ba2 Ba 0.3333 0.6667 0.7282
Hg1 Hg 0.0000 0.0000 0.5000
Sb1 Sb 0.3333 0.6667 0.1582
O1 O 0.1637 0.3275 0.2230
O2 O 0.3333 0.6667 0.9683
# * theoretical density: 5.1 g/cm3
# * total magnetic moment: 0.00 μB/cell
# * calculated total energy: -79.30 eV/cell

# Tb2GaBi (PBE, optimized geometry)
data_Tb2GaBi
_chemical_formula_sum 'Tb6 Ga3 Bi3'
_space_group_name_H-M_alt 'R -3 m'
_space_group_IT_number 166
_space_group_name_Hall '-R 3 2"'
_cell_length_a 4.2455
_cell_length_b 4.2455
_cell_length_c 22.4108
_cell_angle_alpha 90.00
_cell_angle_beta 90.00
_cell_angle_gamma 120.00
loop_
_atom_site_label
_atom_site_type_symbol
_atom_site_fract_x
_atom_site_fract_y
_atom_site_fract_z
Tb1 Tb 0.0000 0.0000 0.2475
Ga1 Ga 0.0000 0.0000 0.5000
Bi1 Bi 0.0000 0.0000 0.0000
# * theoretical density: 8.5 g/cm3
# * E above lowest polymorph: 150 meV/atom
# * ΔE_f: -213 kJ/mol of formula units
# * total magnetic moment: 0.00 μB/cell